Density functional theory data (PBE) for a relaxed DyYEr2Se4 crystal.

Unit cell a=4.009 b=7.090 c=7.028 alpha=71.15 beta=90.00 gamma=90.00
Sites, in units of the cell vectors:
Dy 0.000 0.500 0.500
Y 0.500 0.500 0.000
Er 0.000 0.000 0.000
Er 0.500 0.000 0.500
Se 0.000 0.755 0.748
Se 0.000 0.245 0.252
Se 0.500 0.754 0.249
Se 0.500 0.246 0.751

- crystal system = monoclinic
- SG = P2/m, No. 10

Density functional theory data (PBE) for a relaxed DyY3Er2Se6 crystal.

Unit cell a=4.056 b=8.171 c=9.093 alpha=103.19 beta=102.89 gamma=90.00
Sites, in units of the cell vectors:
Dy 0.500 0.000 0.000
Y 0.500 0.500 0.000
Y 0.834 0.167 0.669
Y 0.166 0.833 0.331
Er 0.834 0.668 0.668
Er 0.166 0.332 0.332
Se 0.333 0.913 0.666
Se 0.668 0.580 0.336
Se 0.667 0.087 0.334
Se 0.001 0.250 0.003
Se 0.999 0.750 0.997
Se 0.332 0.420 0.664

- crystal system = monoclinic
- SG = C2/m, No. 12

Total energy values (in eV per formula unit) by entry order: -47.92, -74.89.